{"formula": "AlAgAu3", "functional": "PBE", "state": "relaxed", "lattice": [[5.121, 0.000, 0.000], [0.000, 5.121, 0.000], [0.000, 0.000, 5.121]], "species": ["Au", "Au", "Au", "Ag", "Al"], "frac_coords": [[0.000, 0.500, 0.000], [0.000, 0.000, 0.500], [0.500, 0.000, 0.000], [0.000, 0.000, 0.000], [0.500, 0.500, 0.500]], "crystal_system": "cubic", "ef_mev_per_atom": 755.4, "e_above_lowest_polymorph_mev_per_atom": 918, "magmom_total_mub_per_cell": 0.000}